Entry 1:
4
Lattice="4.702 0.069 0.000 -2.092 4.211 0.000 0.000 0.000 2.766" Properties=species:S:1:pos:R:3 comment="Li2BeAu | Alexandria via LeMat-Bulk | GGA-PBE | relaxed" total_energy_ev_per_atom=-2.811 sg=Cmmm delta_e_f_kj_per_mol_atoms=-9.9 magnetic_moment_mub_per_fu=0.0 pbc="T T T"
Au 2.351 0.034 1.383
Be -1.046 2.106 1.383
Li 0.000 0.000 0.000
Li 1.305 2.140 0.000



Entry 2:
4
Lattice="3.767 0.000 0.000 0.000 2.868 -0.003 0.000 1.441 4.473" Properties=species:S:1:pos:R:3 comment="LiBe2Au | Alexandria via LeMat-Bulk | GGA-PBE | relaxed" total_energy_ev_per_atom=-3.173 sg=Pm delta_e_f_kj_per_mol_atoms=-1.2 magnetic_moment_mub_per_fu=0.0 pbc="T T T"
Au 1.884 3.411 3.599
Be 0.000 1.984 4.422
Be 1.884 0.535 1.154
Li 0.000 1.975 2.003



Entry 3:
4
Lattice="-1.575 1.091 2.111 -0.675 -2.633 0.857 4.769 -0.055 3.586" Properties=species:S:1:pos:R:3 comment="LiBe2Au | Alexandria via LeMat-Bulk | GGA-PBE | relaxed" total_energy_ev_per_atom=-3.205 sg=P4mm delta_e_f_kj_per_mol_atoms=-4.3 magnetic_moment_mub_per_fu=0.0 pbc="T T T"
Au 2.605 -0.814 4.289
Be 0.160 -0.002 0.120
Be -0.123 -0.783 2.237
Li 2.262 -0.026 1.701



Entry 4:
8
Lattice="-0.935 -0.401 -3.872 -2.881 -4.833 1.196 -4.579 3.399 0.753" Properties=species:S:1:pos:R:3 comment="LiBeAu6 | Alexandria via LeMat-Bulk | GGA-PBE | relaxed" total_energy_ev_per_atom=-3.328 sg=Amm2 delta_e_f_kj_per_mol_atoms=-15.9 magnetic_moment_mub_per_fu=0.0 pbc="T T T"
Li -4.849 2.243 -1.131
Be -3.867 -2.519 -0.875
Au -2.573 0.541 -1.505
Au -6.276 -0.170 -0.537
Au -2.147 -1.379 0.661
Au -4.929 -1.914 1.388
Au -4.046 0.816 0.892
Au -3.020 -4.156 1.160



Computed volume (Å³ per atom) in order:
13.79, 12.09, 12.12, 16.52